Record 1
Below is an optimized crystal structure of LaTe2W, with properties calculated at the GGA-PBE level.

Summary:
Uncorrected formation energy (meV per atom): -105.5

abc: 5.5417 5.5417 5.7478
angles: 106.79 106.79 38.45
Last column: nearest neighbours and their distance in Å.
Fractional coordinates of all 4 atoms:
1 La 0.0000 0.0000 0.0000  7 Te 3.13-3.49, 2 W 3.43
2 Te 0.5466 0.5466 0.5382  2 W 2.79
3 Te 0.7606 0.7606 0.2205  2 W 2.80, 1 La 3.13
4 W 0.2554 0.2554 0.5875  4 Te 2.79-2.80

Record 2
Below is an optimized crystal structure of LaTeW2, with properties calculated at the GGA-PBE level.

Summary:
Uncorrected formation energy (meV per atom): 546.8

abc: 5.9397 5.9397 5.9397
angles: 145.85 127.03 64.54
Last column: nearest neighbours and their distance in Å.
Fractional coordinates of all 4 atoms:
1 La 0.0000 0.0000 0.0000  8 W 3.18-3.47, 4 Te 3.30-3.46, 2 La 3.49
2 Te 0.2786 0.7786 0.5000  6 W 2.98-3.26, 2 La 3.30
3 W 0.5191 0.5191 0.0000  2 W 2.53
4 W 0.7016 0.2016 0.5000  2 W 2.53

Record 3
Below is an optimized crystal structure of LaTe2W, with properties calculated at the GGA-PBE level.

Summary:
Uncorrected formation energy (meV per atom): 69.7

abc: 10.4884 10.4884 10.4884
angles: 19.19 19.19 19.19
Last column: nearest neighbours and their distance in Å.
Fractional coordinates of all 4 atoms:
1 La 0.0000 0.0000 0.0000  2 Te 3.26, 6 La 3.50
2 Te 0.1057 0.1057 0.1057  3 W 2.76
3 Te 0.8943 0.8943 0.8943  3 W 2.76
4 W 0.5000 0.5000 0.5000  6 Te 2.76

Record 4
Below is an optimized crystal structure of LaTe2W, with properties calculated at the GGA-PBE level.

Summary:
Uncorrected formation energy (meV per atom): -44.7

abc: 5.1505 5.1505 5.1505
angles: 60.00 60.00 60.00
Last column: nearest neighbours and their distance in Å.
Fractional coordinates of all 4 atoms:
1 La 0.0000 0.0000 0.0000  8 Te 3.15
2 Te 0.2500 0.2500 0.2500  4 La 3.15, 4 W 3.15
3 Te 0.7500 0.7500 0.7500  4 W 3.15, 4 La 3.15
4 W 0.5000 0.5000 0.5000  8 Te 3.15